This record from Alexandria via LeMat-Bulk describes crystalline AgCIN2 at its relaxed geometry. The functional is PBE.

- Formation energy without anion corrections: 12.3 eV/f.u.
- Density of states at the Fermi level: 3.94 states/eV/f.u.

abc: 3.6714 3.6714 7.6848
angles: 90.00 90.00 90.00
Last column: nearest neighbours and their distance in Å.
Positions (direct):
1 Ag 0.0000 0.0000 0.0000  4 I 2.60
2 C 0.5000 0.5000 0.5000  4 N 1.84
3 I 0.5000 0.5000 0.0000  4 Ag 2.60
4 N 0.0000 0.5000 0.5000  2 C 1.84
5 N 0.5000 0.0000 0.5000  2 C 1.84